(1)
Sr2MgAs GGA-PBEsol optimized geometry; DFT total energy = -0.225 Ry/atom; space group = I4/mmm (139); E above lowest polymorph = 0.000 eV per atom; DFT formation energy = -0.436 eV/atom
1.0
-1.441 -1.698 -5.067
5.162 1.706 0.983
4.165 -3.645 0.037
Mg Sr As
1 2 1
Direct
0.500 0.000 0.500
0.250 0.500 0.250
0.750 0.500 0.750
0.000 0.000 0.000

***

(2)
MgSnS2Cl GGA-PBEsol optimized geometry; DFT total energy = -0.284 Ry/atom; space group = P4/mmm (123); formation energy from raw total energies = -507 meV per atom
1.0
4.782 0.000 0.000
0.000 4.784 0.000
0.000 0.000 4.784
Cl S Mg Sn
1 2 1 1
Direct
0.500 0.000 0.000
0.000 0.500 0.000
0.000 0.000 0.500
0.000 0.000 0.000
0.500 0.500 0.500

***

(3)
BaHg2Pt GGA-PBEsol optimized geometry; DFT total energy = -0.216 Ry/atom; space group = P2/m (10); DFT formation energy = -0.380 eV/atom
1.0
4.792 0.000 0.000
0.000 4.901 0.026
0.000 -1.237 4.727
Hg Pt Ba
2 1 1
Direct
0.000 0.187 0.314
0.000 0.813 0.686
0.500 0.000 0.500
0.500 0.500 0.000

***

(4)
Y3TaPd GGA-PBEsol optimized geometry; DFT total energy = -0.533 Ry/atom; space group = Pm-3m (221); DFT formation energy = 0.547 eV/atom
1.0
-0.766 -4.577 -2.395
4.235 0.830 -2.940
2.957 -2.374 3.590
Y Ta Pd
3 1 1
Direct
0.000 0.500 0.000
0.000 0.000 0.500
0.500 0.000 0.000
0.500 0.500 0.500
0.000 0.000 0.000